Entry 1:
Computed, not measured: crystalline Li2TcAs at its relaxed geometry at the PBE level of DFT.

Cell and atoms, written as POSCAR:
```
Li2TcAs
1.0
-1.831 1.831 3.851
1.831 -1.831 3.851
1.831 1.831 -3.851
Li Tc As
2 1 1
Direct
0.000 0.000 0.000
0.750 0.250 0.500
0.250 0.750 0.500
0.500 0.500 0.000
```

Symmetry: No. 119
Crystal system: tetragonal
E_form: -180 meV/atom
Total magnetization: 0.00 μB per cell
Calculated total energy: -19.56 eV/cell

=====

Entry 2:
Computed, not measured: crystalline LiTc2As at its relaxed geometry at the PBE level of DFT.

Cell and atoms, written as POSCAR:
```
LiTc2As
1.0
-1.430 2.125 4.993
1.430 -2.125 4.993
1.430 2.125 -4.993
Li Tc As
1 2 1
Direct
0.000 0.000 0.000
0.296 0.796 0.500
0.704 0.204 0.500
0.500 0.500 0.000
```

Symmetry: No. 71
Crystal system: orthorhombic
E_form: 63 meV/atom
Total magnetization: 0.00 μB per cell
Calculated total energy: -27.04 eV/cell

=====

Entry 3:
Computed, not measured: crystalline LiTc2As2 at its relaxed geometry at the PBE level of DFT.

Cell and atoms, written as POSCAR:
```
LiTc2As2
1.0
7.081 0.000 0.000
0.000 7.081 0.000
0.000 0.000 3.032
Li Tc As
2 4 4
Direct
0.000 0.000 0.000
0.500 0.500 0.000
0.145 0.355 0.500
0.355 0.855 0.500
0.645 0.145 0.500
0.855 0.645 0.500
0.151 0.651 0.000
0.349 0.151 0.000
0.651 0.849 0.000
0.849 0.349 0.000
```

Polymorph energy (0 for the lowest one): 0.0384 eV per atom
Symmetry: No. 127
Crystal system: tetragonal
E_form: -143 meV/atom
Total magnetization: 0.00 μB per cell
Calculated total energy: -65.32 eV/cell

=====

Entry 4:
Computed, not measured: crystalline LiTc2As at its relaxed geometry at the PBE level of DFT.

Cell and atoms, written as POSCAR:
```
LiTc2As
1.0
2.750 0.000 0.000
0.000 4.301 0.000
-0.370 0.000 4.911
Li Tc As
1 2 1
Direct
0.000 0.000 0.000
0.320 0.500 0.761
0.680 0.500 0.239
0.500 0.000 0.500
```

Symmetry: No. 10
Crystal system: monoclinic
E_form: 153 meV/atom
Total magnetization: 0.00 μB per cell
Calculated total energy: -26.69 eV/cell

=====

Entry 5:
Computed, not measured: crystalline Li2TcAs at its relaxed geometry at the PBE level of DFT.

Cell and atoms, written as POSCAR:
```
Li2TcAs
1.0
2.457 -4.528 0.000
2.457 4.528 0.000
-0.715 0.000 2.624
Li Tc As
2 1 1
Direct
0.000 0.500 0.000
0.500 0.000 0.000
0.000 0.000 0.500
0.500 0.500 0.500
```

Symmetry: No. 12
Crystal system: monoclinic
E_form: -54 meV/atom
Total magnetization: 0.13 μB per cell
Calculated total energy: -19.06 eV/cell

=====

Entry 6:
Computed, not measured: crystalline LiTc2As at its relaxed geometry at the PBE level of DFT.

Cell and atoms, written as POSCAR:
```
LiTc2As
1.0
1.443 0.833 8.412
-1.443 0.833 8.412
0.000 -1.666 8.412
Li Tc As
1 2 1
Direct
0.000 0.000 0.000
0.242 0.242 0.242
0.758 0.758 0.758
0.500 0.500 0.500
```

Symmetry: No. 166
Crystal system: trigonal
E_form: 250 meV/atom
Total magnetization: 0.00 μB per cell
Calculated total energy: -26.29 eV/cell